A relaxed TaPdS3 crystal. Source: Alexandria via LeMat-Bulk, functional PBE.

Calculated values
Mass density ... 5.89 g/cm3
E_form (uncorrected) ... 0.04 eV per formula unit

Cell lengths 4.7651, 4.7651, 4.7651 Å; angles 90.00, 90.00, 90.00 degrees
Closest atoms and distances in Å follow each position.
Positions (direct):
S1 0.5000 0.0000 0.0000  2 Ta 2.38
S2 0.0000 0.5000 0.0000  2 Ta 2.38
S3 0.0000 0.0000 0.5000  2 Ta 2.38
Ta1 0.0000 0.0000 0.0000  6 S 2.38
Pd1 0.5000 0.5000 0.5000  12 S 3.37

***

A relaxed Ti6FeNi crystal. Source: Alexandria via LeMat-Bulk, functional PBE.

Calculated values
Total DFT energy (no corrections) ... -7.565 eV/atom
Mass density ... 5.18 g/cm3

Cell lengths 5.5751, 5.5751, 5.5272 Å; angles 103.83, 103.83, 120.99 degrees
Closest atoms and distances in Å follow each position.
Positions (direct):
Ti1 0.4602 0.0477 0.2460  1 Fe 2.44, 1 Ni 2.44
Ti2 0.0477 0.4602 0.2460  1 Fe 2.44, 1 Ni 2.44
Ti3 0.2472 0.2472 0.7503  1 Fe 2.36, 1 Ni 2.39
Ti4 0.7528 0.7528 0.2497  1 Fe 2.36, 1 Ni 2.39
Ti5 0.9523 0.5398 0.7540  1 Fe 2.44, 1 Ni 2.44
Ti6 0.5398 0.9523 0.7540  1 Fe 2.44, 1 Ni 2.44
Fe1 0.0000 0.0000 0.0000  6 Ti 2.36-2.44
Ni1 0.5000 0.5000 0.5000  6 Ti 2.39-2.44

***

A relaxed NaTl2MoI crystal. Source: Alexandria via LeMat-Bulk, functional PBE.

Calculated values
Mass density ... 4.74 g/cm3
E_form (uncorrected) ... 4.95 eV per formula unit

Cell lengths 6.4479, 5.5194, 6.4479 Å; angles 90.00, 90.00, 90.00 degrees
Closest atoms and distances in Å follow each position.
Positions (direct):
Tl1 0.0000 0.0000 0.5000  2 I 3.22
Tl2 0.5000 0.0000 0.0000  2 I 3.22
Na1 0.0000 0.5000 0.0000  2 I 2.76
Mo1 0.5000 0.5000 0.5000  8 Tl 4.24, 4 Na 4.56
I1 0.0000 0.0000 0.0000  2 Na 2.76

***

A relaxed Tb6CePm2Nd crystal. Source: Alexandria via LeMat-Bulk, functional PBE.

Calculated values
Total DFT energy (no corrections) ... -4.553 eV/atom
Mass density ... 7.60 g/cm3

Cell lengths 9.0384, 6.7512, 6.6499 Å; angles 120.50, 104.76, 90.00 degrees
Closest atoms and distances in Å follow each position.
Positions (direct):
Tb1 0.5826 0.3705 0.7409  1 Ce 3.62, 7 Tb 3.70-3.88, 2 Nd 3.85, 2 Pm 4.01
Tb2 0.4174 0.6295 0.2591  1 Ce 3.62, 7 Tb 3.70-3.88, 2 Nd 3.85, 2 Pm 4.01
Tb3 0.8046 0.9330 0.3488  2 Pm 3.19-3.49, 3 Tb 3.26-3.49, 1 Nd 3.31, 1 Ce 3.50
Tb4 0.1954 0.5842 0.6512  2 Pm 3.19-3.49, 3 Tb 3.26-3.49, 1 Nd 3.31, 1 Ce 3.50
Tb5 0.1954 0.0670 0.6512  2 Pm 3.19-3.49, 3 Tb 3.26-3.49, 1 Nd 3.31, 1 Ce 3.50
Tb6 0.8046 0.4158 0.3488  2 Pm 3.19-3.49, 3 Tb 3.26-3.49, 1 Nd 3.31, 1 Ce 3.50
Ce1 0.0000 0.5000 0.0000  6 Tb 3.50-3.62, 4 Pm 3.72
Pm1 0.1678 0.0876 0.1753  1 Pm 3.10, 2 Tb 3.19, 1 Nd 3.44
Pm2 0.8322 0.9124 0.8247  1 Pm 3.10, 2 Tb 3.19, 1 Nd 3.44
Nd1 0.5000 0.0000 0.0000  4 Tb 3.31, 2 Pm 3.44